[1]
First-principles (GGA-PBE) data for a relaxed Sc2InCu crystal, as listed in the Alexandria database. Values from VASP.

Cell and atoms, written as Quantum ESPRESSO input:
```
&SYSTEM
  ibrav = 0, nat = 4, ntyp = 3
/
ATOMIC_SPECIES
Sc 44.96 Sc.upf
In 114.82 In.upf
Cu 63.55 Cu.upf
ATOMIC_POSITIONS angstrom
Sc 0.000 0.000 1.582
Sc 0.000 0.000 5.627
In 1.665 1.665 3.605
Cu 1.665 1.665 0.000
CELL_PARAMETERS angstrom
3.331 0.000 0.000
0.000 3.331 0.000
0.000 0.000 7.209
```

Results
Calculated formation energy   -1.5 eV/f.u.
Total magnetic moment   0.01 μB per formula unit
Density of states at the Fermi level   0.861 states/eV/atom
Space-group type   P4/mmm, No. 123

[2]
First-principles (GGA-PBE) data for a relaxed LiAlRe3 crystal, as listed in the Alexandria database. Values from VASP.

Cell and atoms, written as Quantum ESPRESSO input:
```
&SYSTEM
  ibrav = 0, nat = 5, ntyp = 3
/
ATOMIC_SPECIES
Li 6.94 Li.upf
Al 26.98 Al.upf
Re 186.21 Re.upf
ATOMIC_POSITIONS angstrom
Li 0.000 0.000 0.000
Al 2.076 2.076 2.076
Re 0.000 0.000 2.076
Re 0.000 2.076 0.000
Re 2.076 0.000 0.000
CELL_PARAMETERS angstrom
4.153 0.000 0.000
0.000 4.153 0.000
0.000 0.000 4.153
```

Results
Calculated formation energy   6.4 eV/f.u.
Total magnetic moment   0.00 μB per formula unit
Density of states at the Fermi level   0.781 states/eV/atom
Space-group type   Pm-3m, No. 221

[3]
First-principles (GGA-PBE) data for a relaxed KAlAg2F8 crystal, as listed in the Alexandria database. Values from VASP.

Cell and atoms, written as Quantum ESPRESSO input:
```
&SYSTEM
  ibrav = 0, nat = 12, ntyp = 4
/
ATOMIC_SPECIES
K 39.10 K.upf
Al 26.98 Al.upf
Ag 107.87 Ag.upf
F 19.00 F.upf
ATOMIC_POSITIONS angstrom
K 0.000 0.000 0.000
Al 0.460 0.724 3.538
Ag 2.417 2.869 1.746
Ag 3.747 3.808 5.330
F 1.500 5.038 4.946
F 1.627 4.814 2.328
F 1.924 1.861 3.521
F 2.398 1.421 0.085
F 3.766 5.255 6.990
F 4.240 4.815 3.554
F 4.537 1.862 4.747
F 4.664 1.638 2.129
CELL_PARAMETERS angstrom
4.883 0.000 0.000
0.361 5.228 0.000
0.920 1.448 7.075
```

Results
E_form (uncorrected)   -2181.6 meV per atom
Total magnetic moment   0.00 μB per formula unit
Density of states at the Fermi level   0.163 states/eV/atom
Space-group type   P-1, No. 2

[4]
First-principles (GGA-PBE) data for a relaxed Al2RuCl2 crystal, as listed in the Alexandria database. Values from VASP.

Cell and atoms, written as Quantum ESPRESSO input:
```
&SYSTEM
  ibrav = 0, nat = 10, ntyp = 3
/
ATOMIC_SPECIES
Al 26.98 Al.upf
Ru 101.07 Ru.upf
Cl 35.45 Cl.upf
ATOMIC_POSITIONS angstrom
Al 1.336 1.790 0.000
Al 1.790 4.916 0.000
Al 4.462 1.336 0.000
Al 4.916 4.462 0.000
Ru 0.000 0.000 2.564
Ru 3.126 3.126 2.564
Cl 1.045 2.081 2.564
Cl 2.081 5.207 2.564
Cl 4.171 1.045 2.564
Cl 5.207 4.171 2.564
CELL_PARAMETERS angstrom
6.252 0.000 0.000
0.000 6.252 0.000
0.000 0.000 5.128
```

Results
E_form (uncorrected)   242.3 meV per atom
Total magnetic moment   0.00 μB per formula unit
Density of states at the Fermi level   0.440 states/eV/atom
Space-group type   P4/mbm, No. 127

[5]
First-principles (GGA-PBE) data for a relaxed Tm8Cu2Sb crystal, as listed in the Alexandria database. Values from VASP.

Cell and atoms, written as Quantum ESPRESSO input:
```
&SYSTEM
  ibrav = 0, nat = 11, ntyp = 3
/
ATOMIC_SPECIES
Tm 168.93 Tm.upf
Cu 63.55 Cu.upf
Sb 121.76 Sb.upf
ATOMIC_POSITIONS angstrom
Tm 0.952 1.668 3.078
Tm 4.307 3.383 0.000
Tm 0.952 -1.668 3.078
Tm 3.121 0.000 1.027
Tm 4.098 0.000 4.121
Tm 6.267 1.668 2.069
Tm 4.307 -3.383 0.000
Tm 6.267 -1.668 2.069
Cu 3.610 2.557 2.574
Cu 3.610 -2.557 2.574
Sb 0.000 0.000 0.000
CELL_PARAMETERS angstrom
4.307 -6.584 0.000
4.307 6.584 0.000
-1.396 0.000 5.148
```

Results
E_form (uncorrected)   -172.5 meV per atom
Total magnetic moment   1.19 μB per formula unit
Density of states at the Fermi level   1.376 states/eV/atom
Space-group type   C2/m, No. 12

[6]
First-principles (GGA-PBE) data for a relaxed TmCd6Hg2 crystal, as listed in the Alexandria database. Values from VASP.

Cell and atoms, written as Quantum ESPRESSO input:
```
&SYSTEM
  ibrav = 0, nat = 9, ntyp = 3
/
ATOMIC_SPECIES
Tm 168.93 Tm.upf
Cd 112.41 Cd.upf
Hg 200.59 Hg.upf
ATOMIC_POSITIONS angstrom
Tm 0.000 0.000 0.000
Cd 2.206 1.484 2.132
Cd 7.338 1.522 1.579
Cd 2.206 -1.484 2.132
Cd 12.470 1.484 1.026
Cd 7.338 -1.522 1.579
Cd 12.470 -1.484 1.026
Hg 4.805 0.000 2.664
Hg 9.870 0.000 0.494
CELL_PARAMETERS angstrom
7.677 -4.380 0.000
7.677 4.380 0.000
-0.679 0.000 3.158
```

Results
Calculated formation energy   -0.7 eV/f.u.
Total magnetic moment   0.00 μB per formula unit
Density of states at the Fermi level   0.469 states/eV/atom
Space-group type   C2/m, No. 12

[7]
First-principles (GGA-PBE) data for a relaxed ZrInRuN2 crystal, as listed in the Alexandria database. Values from VASP.

Cell and atoms, written as Quantum ESPRESSO input:
```
&SYSTEM
  ibrav = 0, nat = 5, ntyp = 4
/
ATOMIC_SPECIES
Zr 91.22 Zr.upf
In 114.82 In.upf
Ru 101.07 Ru.upf
N 14.01 N.upf
ATOMIC_POSITIONS angstrom
Zr 0.000 0.000 0.000
In 2.095 2.095 2.665
Ru 0.000 0.000 2.665
N 0.000 2.095 0.000
N 2.095 0.000 0.000
CELL_PARAMETERS angstrom
4.190 0.000 0.000
0.000 4.190 0.000
0.000 0.000 5.330
```

Results
E_form (uncorrected)   871.9 meV per atom
Total magnetic moment   3.08 μB per formula unit
Density of states at the Fermi level   0.405 states/eV/atom
Space-group type   P4/mmm, No. 123

[8]
First-principles (GGA-PBE) data for a relaxed PaBeSi2Pd crystal, as listed in the Alexandria database. Values from VASP.

Cell and atoms, written as Quantum ESPRESSO input:
```
&SYSTEM
  ibrav = 0, nat = 5, ntyp = 4
/
ATOMIC_SPECIES
Pa 231.04 Pa.upf
Be 9.01 Be.upf
Si 28.09 Si.upf
Pd 106.42 Pd.upf
ATOMIC_POSITIONS angstrom
Pa 0.000 0.000 0.000
Be 1.977 0.000 2.550
Si 0.000 0.000 3.934
Si 0.000 0.000 6.266
Pd 0.000 1.977 2.550
CELL_PARAMETERS angstrom
-1.977 1.977 5.100
1.977 -1.977 5.100
1.977 1.977 -5.100
```

Results
E_form (uncorrected)   -572.4 meV per atom
Total magnetic moment   0.00 μB per formula unit
Density of states at the Fermi level   0.821 states/eV/atom
Space-group type   I-4m2, No. 119

Question: Which value of total magnetic moment does entry 7 give?
Answer: 3.08 μB per formula unit

Copy entry 3 word for word.
First-principles (GGA-PBE) data for a relaxed KAlAg2F8 crystal, as listed in the Alexandria database. Values from VASP.

Cell and atoms, written as Quantum ESPRESSO input:
```
&SYSTEM
  ibrav = 0, nat = 12, ntyp = 4
/
ATOMIC_SPECIES
K 39.10 K.upf
Al 26.98 Al.upf
Ag 107.87 Ag.upf
F 19.00 F.upf
ATOMIC_POSITIONS angstrom
K 0.000 0.000 0.000
Al 0.460 0.724 3.538
Ag 2.417 2.869 1.746
Ag 3.747 3.808 5.330
F 1.500 5.038 4.946
F 1.627 4.814 2.328
F 1.924 1.861 3.521
F 2.398 1.421 0.085
F 3.766 5.255 6.990
F 4.240 4.815 3.554
F 4.537 1.862 4.747
F 4.664 1.638 2.129
CELL_PARAMETERS angstrom
4.883 0.000 0.000
0.361 5.228 0.000
0.920 1.448 7.075
```

Results
E_form (uncorrected)   -2181.6 meV per atom
Total magnetic moment   0.00 μB per formula unit
Density of states at the Fermi level   0.163 states/eV/atom
Space-group type   P-1, No. 2